# Be3CdC

An optimized crystal structure of Be3CdC (PBE, Alexandria via LeMat-Bulk).

formation energy: 2.325 eV per atom
total magnetic moment: 1.12 Bohr magnetons per cell
offset from the most stable computed form: 1.821 eV per atom

Unit cell a=4.390 b=4.390 c=4.390 alpha=90.00 beta=90.00 gamma=90.00
Space group Pm-3m (No. 221)
Asymmetric unit:
Be 0.000 0.000 0.500 x3
Cd 0.000 0.000 0.000 x1
C 0.500 0.500 0.500 x1